The following is a PBE calculation of crystalline PrCuSnTe3 at its relaxed geometry, from OQMD.

Cell and atoms, written as POSCAR:
```
PrCuSnTe3
1.0
4.433 0.000 0.000
0.000 12.476 0.000
0.000 0.000 12.582
Te Sn Cu Pr
12 4 4 4
Direct
0.250 0.541 0.625
0.750 0.291 0.687
0.750 0.959 0.125
0.750 0.459 0.375
0.250 0.393 0.939
0.750 0.107 0.439
0.750 0.791 0.813
0.750 0.607 0.061
0.250 0.709 0.313
0.250 0.893 0.561
0.250 0.041 0.875
0.250 0.209 0.187
0.250 0.302 0.479
0.750 0.698 0.521
0.750 0.198 0.979
0.250 0.802 0.021
0.750 0.766 0.208
0.250 0.734 0.708
0.750 0.266 0.292
0.250 0.234 0.792
0.750 0.533 0.810
0.250 0.467 0.190
0.750 0.033 0.690
0.250 0.967 0.310
```

Calculated values
Polymorph energy (0 for the lowest one) (meV per atom): 0
Spin magnetization (Bohr magnetons per cell): 0.0